Here is crystalline Ce3ThIr8 at its relaxed geometry from the Alexandria database. Energies are from GGA-PBE.

* M_tot: 0.0 μB per formula unit
* DOS at the Fermi energy: 1.530 states/eV/atom
* ΔH_f (0 K): -0.791 eV/atom

Lattice parameters (Å, degrees): 9.3639 9.3639 9.3639 33.58 33.58 33.58
With the nearest neighbours (Å) after each atom.
Positions (direct):
1 Ce 0.0000 0.0000 0.0000  12 Ir 3.14-3.23, 1 Ce 3.27, 3 Th 3.34
2 Ce 0.1236 0.1236 0.1236  12 Ir 3.15-3.18, 4 Ce 3.27-3.29
3 Ce 0.4959 0.4959 0.4959  12 Ir 3.12-3.19, 3 Ce 3.29, 1 Th 3.34
4 Th 0.6222 0.6222 0.6222  12 Ir 3.17-3.19, 4 Ce 3.34
5 Ir 0.0598 0.0598 0.5605  6 Ir 2.70-2.71
6 Ir 0.0598 0.5605 0.0598  6 Ir 2.70-2.71
7 Ir 0.0607 0.5604 0.5604  6 Ir 2.70-2.71
8 Ir 0.3104 0.3104 0.3104  6 Ir 2.71
9 Ir 0.5604 0.0607 0.5604  6 Ir 2.70-2.71
10 Ir 0.5604 0.5604 0.0607  6 Ir 2.70-2.71
11 Ir 0.5605 0.0598 0.0598  6 Ir 2.70-2.71
12 Ir 0.8103 0.8103 0.8103  6 Ir 2.70